1:
Compound: BeTlRe2
Source: Alexandria
Functional: GGA-PBEsol
Structure: optimized geometry

Values from the calculation:
symmetry	No. 123

The structure in CIF format:
```
data_BeTlRe2
_space_group_name_H-M_alt 'P 1'
_space_group_IT_number 1
_cell_length_a 3.768
_cell_length_b 3.768
_cell_length_c 4.276
_cell_angle_alpha 90.00
_cell_angle_beta 90.00
_cell_angle_gamma 90.00
loop_
_space_group_symop_operation_xyz
'x,y,z'
loop_
_atom_site_label
_atom_site_type_symbol
_atom_site_fract_x
_atom_site_fract_y
_atom_site_fract_z
_atom_site_occupancy
Re1 Re 0.000 0.500 0.000 1
Re2 Re 0.500 0.000 0.000 1
Tl1 Tl 0.500 0.500 0.500 1
Be1 Be 0.000 0.000 0.500 1
```



2:
Compound: BeTlRe2
Source: Alexandria
Functional: GGA-PBEsol
Structure: optimized geometry

Values from the calculation:
symmetry	No. 166

The structure in CIF format:
```
data_BeTlRe2
_space_group_name_H-M_alt 'P 1'
_space_group_IT_number 1
_cell_length_a 2.841
_cell_length_b 2.841
_cell_length_c 8.710
_cell_angle_alpha 80.61
_cell_angle_beta 80.61
_cell_angle_gamma 60.00
loop_
_space_group_symop_operation_xyz
'x,y,z'
loop_
_atom_site_label
_atom_site_type_symbol
_atom_site_fract_x
_atom_site_fract_y
_atom_site_fract_z
_atom_site_occupancy
Re1 Re 0.261 0.261 0.216 1
Re2 Re 0.739 0.739 0.784 1
Tl1 Tl 0.500 0.500 0.500 1
Be1 Be 0.000 0.000 0.000 1
```



Q: Which of them is the least stable? A: 1.



1:
Compound: Be2ReW
Source: Alexandria
Functional: GGA-PBEsol
Structure: optimized geometry

Values from the calculation:
symmetry	No. 38

The structure in CIF format:
```
data_Be2ReW
_space_group_name_H-M_alt 'P 1'
_space_group_IT_number 1
_cell_length_a 3.138
_cell_length_b 3.198
_cell_length_c 4.646
_cell_angle_alpha 90.00
_cell_angle_beta 109.74
_cell_angle_gamma 90.00
loop_
_space_group_symop_operation_xyz
'x,y,z'
loop_
_atom_site_label
_atom_site_type_symbol
_atom_site_fract_x
_atom_site_fract_y
_atom_site_fract_z
_atom_site_occupancy
Re1 Re 0.473 0.000 0.946 1
W1 W 0.778 0.500 0.556 1
Be1 Be 0.192 0.000 0.383 1
Be2 Be 0.057 0.500 0.114 1
```



2:
Compound: Be2ReW
Source: Alexandria
Functional: GGA-PBEsol
Structure: optimized geometry

Values from the calculation:
symmetry	No. 99

The structure in CIF format:
```
data_Be2ReW
_space_group_name_H-M_alt 'P 1'
_space_group_IT_number 1
_cell_length_a 3.048
_cell_length_b 3.048
_cell_length_c 5.351
_cell_angle_alpha 90.00
_cell_angle_beta 90.00
_cell_angle_gamma 90.00
loop_
_space_group_symop_operation_xyz
'x,y,z'
loop_
_atom_site_label
_atom_site_type_symbol
_atom_site_fract_x
_atom_site_fract_y
_atom_site_fract_z
_atom_site_occupancy
Re1 Re 0.000 0.000 0.492 1
W1 W 0.500 0.500 0.748 1
Be1 Be 0.000 0.000 0.025 1
Be2 Be 0.500 0.500 0.236 1
```



3:
Compound: Be2ReW
Source: Alexandria
Functional: GGA-PBEsol
Structure: optimized geometry

Values from the calculation:
symmetry	No. 216

The structure in CIF format:
```
data_Be2ReW
_space_group_name_H-M_alt 'P 1'
_space_group_IT_number 1
_cell_length_a 4.129
_cell_length_b 4.129
_cell_length_c 4.129
_cell_angle_alpha 60.00
_cell_angle_beta 60.00
_cell_angle_gamma 60.00
loop_
_space_group_symop_operation_xyz
'x,y,z'
loop_
_atom_site_label
_atom_site_type_symbol
_atom_site_fract_x
_atom_site_fract_y
_atom_site_fract_z
_atom_site_occupancy
Re1 Re 0.500 0.500 0.500 1
W1 W 0.250 0.250 0.250 1
Be1 Be 0.000 0.000 0.000 1
Be2 Be 0.750 0.750 0.750 1
```



4:
Compound: Be2ReW
Source: Alexandria
Functional: GGA-PBEsol
Structure: optimized geometry

Values from the calculation:
symmetry	No. 123

The structure in CIF format:
```
data_Be2ReW
_space_group_name_H-M_alt 'P 1'
_space_group_IT_number 1
_cell_length_a 3.262
_cell_length_b 3.786
_cell_length_c 3.786
_cell_angle_alpha 90.00
_cell_angle_beta 90.00
_cell_angle_gamma 90.00
loop_
_space_group_symop_operation_xyz
'x,y,z'
loop_
_atom_site_label
_atom_site_type_symbol
_atom_site_fract_x
_atom_site_fract_y
_atom_site_fract_z
_atom_site_occupancy
Re1 Re 0.500 0.500 0.500 1
W1 W 0.500 0.000 0.000 1
Be1 Be 0.000 0.000 0.500 1
Be2 Be 0.000 0.500 0.000 1
```



Q: Which of them is the least stable? A: 4.



1:
Compound: ScBe2Rh
Source: Alexandria
Functional: GGA-PBEsol
Structure: optimized geometry

Values from the calculation:
symmetry	No. 123

The structure in CIF format:
```
data_ScBe2Rh
_space_group_name_H-M_alt 'P 1'
_space_group_IT_number 1
_cell_length_a 3.618
_cell_length_b 3.618
_cell_length_c 3.934
_cell_angle_alpha 90.00
_cell_angle_beta 90.00
_cell_angle_gamma 90.00
loop_
_space_group_symop_operation_xyz
'x,y,z'
loop_
_atom_site_label
_atom_site_type_symbol
_atom_site_fract_x
_atom_site_fract_y
_atom_site_fract_z
_atom_site_occupancy
Sc1 Sc 0.000 0.000 0.500 1
Be1 Be 0.000 0.500 0.000 1
Be2 Be 0.500 0.000 0.000 1
Rh1 Rh 0.500 0.500 0.500 1
```



2:
Compound: ScBe2Rh
Source: Alexandria
Functional: GGA-PBEsol
Structure: optimized geometry

Values from the calculation:
symmetry	No. 99

The structure in CIF format:
```
data_ScBe2Rh
_space_group_name_H-M_alt 'P 1'
_space_group_IT_number 1
_cell_length_a 2.922
_cell_length_b 2.922
_cell_length_c 6.042
_cell_angle_alpha 90.00
_cell_angle_beta 90.00
_cell_angle_gamma 90.00
loop_
_space_group_symop_operation_xyz
'x,y,z'
loop_
_atom_site_label
_atom_site_type_symbol
_atom_site_fract_x
_atom_site_fract_y
_atom_site_fract_z
_atom_site_occupancy
Sc1 Sc 0.500 0.500 0.742 1
Be1 Be 0.000 0.000 0.063 1
Be2 Be 0.500 0.500 0.249 1
Rh1 Rh 0.000 0.000 0.446 1
```



Q: Which of them is the least stable? A: 1.



1:
Compound: Be2SiRh
Source: Alexandria
Functional: GGA-PBEsol
Structure: optimized geometry

Values from the calculation:
symmetry	No. 119

The structure in CIF format:
```
data_Be2SiRh
_space_group_name_H-M_alt 'P 1'
_space_group_IT_number 1
_cell_length_a 3.440
_cell_length_b 3.440
_cell_length_c 4.303
_cell_angle_alpha 113.56
_cell_angle_beta 113.56
_cell_angle_gamma 90.00
loop_
_space_group_symop_operation_xyz
'x,y,z'
loop_
_atom_site_label
_atom_site_type_symbol
_atom_site_fract_x
_atom_site_fract_y
_atom_site_fract_z
_atom_site_occupancy
Be1 Be 0.500 0.500 0.000 1
Be2 Be 0.750 0.250 0.500 1
Si1 Si 0.250 0.750 0.500 1
Rh1 Rh 0.000 0.000 0.000 1
```



2:
Compound: Be2SiRh
Source: Alexandria
Functional: GGA-PBEsol
Structure: optimized geometry

Values from the calculation:
symmetry	No. 139

The structure in CIF format:
```
data_Be2SiRh
_space_group_name_H-M_alt 'P 1'
_space_group_IT_number 1
_cell_length_a 3.448
_cell_length_b 3.448
_cell_length_c 4.298
_cell_angle_alpha 113.64
_cell_angle_beta 113.64
_cell_angle_gamma 90.00
loop_
_space_group_symop_operation_xyz
'x,y,z'
loop_
_atom_site_label
_atom_site_type_symbol
_atom_site_fract_x
_atom_site_fract_y
_atom_site_fract_z
_atom_site_occupancy
Be1 Be 0.750 0.250 0.500 1
Be2 Be 0.250 0.750 0.500 1
Si1 Si 0.500 0.500 0.000 1
Rh1 Rh 0.000 0.000 0.000 1
```



Q: Which of them is the least stable? A: 2.